1.
Computed, not measured: V3CdFe after structural relaxation at the PBE level of DFT.

Cell: 4.3457 4.3457 4.3457 Å, 90.00 90.00 90.00°
Closest atoms and distances in Å follow each position.
Space group Pm-3m (No. 221)
Symmetry-distinct sites (fractional):
V  0.0000  0.0000  0.5000 x3  2 Fe 2.17
Cd  0.5000  0.5000  0.5000 x1  12 V 3.07
Fe  0.0000  0.0000  0.0000 x1  6 V 2.17

formation enthalpy at 0 K	312.0	kJ/mol of formula units
calculated total energy	-6.700	eV per atom
energy above the most stable polymorph in this dataset	0.00	eV per formula unit
crystal system	cubic

---

2.
Computed, not measured: CdFeW4 after structural relaxation at the PBE level of DFT.

Cell: 7.4804 7.4804 7.4804 Å, 90.00 90.00 90.00°
Closest atoms and distances in Å follow each position.
Space group F-43m (No. 216)
Symmetry-distinct sites (fractional):
Cd  0.0000  0.0000  0.0000 x4  12 W 3.10, 4 Fe 3.24
Fe  0.2500  0.2500  0.2500 x4  12 W 3.10, 4 Cd 3.24
W  0.1252  0.1252  0.6252 x16  6 W 2.64-2.65

formation enthalpy at 0 K	411.1	kJ/mol of formula units
calculated total energy	-9.488	eV per atom
crystal system	cubic

---

3.
Computed, not measured: Cd2FeW after structural relaxation at the PBE level of DFT.

Cell: 6.4203 6.4203 6.4203 Å, 90.00 90.00 90.00°
Closest atoms and distances in Å follow each position.
Space group Fm-3m (No. 225)
Symmetry-distinct sites (fractional):
Cd  0.2500  0.2500  0.2500 x8  4 W 2.78, 4 Fe 2.78
Fe  0.0000  0.0000  0.0000 x4  8 Cd 2.78
W  0.0000  0.0000  0.5000 x4  8 Cd 2.78

formation enthalpy at 0 K	406.1	kJ/mol of formula units
calculated total energy	-4.759	eV per atom
energy above the most stable polymorph in this dataset	3.08	eV per formula unit
crystal system	cubic

---

4.
Computed, not measured: Cd2FeW after structural relaxation at the PBE level of DFT.

Cell: 3.9540 3.9540 4.3540 Å, 90.00 90.00 90.00°
Closest atoms and distances in Å follow each position.
Space group P4/mmm (No. 123)
Symmetry-distinct sites (fractional):
Cd  0.0000  0.5000  0.0000 x2  4 Cd 2.80, 4 W 2.94, 4 Fe 2.94
Fe  0.0000  0.0000  0.5000 x1  4 W 2.80, 8 Cd 2.94
W  0.5000  0.5000  0.5000 x1  4 Fe 2.80, 8 Cd 2.94

formation enthalpy at 0 K	251.3	kJ/mol of formula units
calculated total energy	-5.160	eV per atom
energy above the most stable polymorph in this dataset	1.48	eV per formula unit
crystal system	tetragonal

---

5.
Computed, not measured: Cd2FeW after structural relaxation at the PBE level of DFT.

Cell: 7.4103 7.4103 5.3952 Å, 90.00 90.00 90.00°
Closest atoms and distances in Å follow each position.
Space group I-42d (No. 122)
Symmetry-distinct sites (fractional):
Cd  0.2293  0.2500  0.1250 x8  2 Fe 2.60, 2 Cd 2.72, 2 W 2.81
Fe  0.0000  0.0000  0.0000 x4  4 Cd 2.60, 2 W 2.70
W  0.0000  0.0000  0.5000 x4  2 Fe 2.70, 4 Cd 2.81

formation enthalpy at 0 K	439.4	kJ/mol of formula units
calculated total energy	-4.673	eV per atom
energy above the most stable polymorph in this dataset	3.43	eV per formula unit
crystal system	tetragonal

---

6.
Computed, not measured: Cd2FeW after structural relaxation at the PBE level of DFT.

Cell: 3.9045 3.9439 8.8411 Å, 90.00 90.00 90.00°
Closest atoms and distances in Å follow each position.
Space group Cmmm (No. 65)
Symmetry-distinct sites (fractional):
Cd  0.0000  0.0000  0.2378 x4  4 Cd 2.77, 4 Fe 2.87-2.88, 4 W 3.03-3.04
Fe  0.0000  0.5000  0.0000 x2  4 Fe 2.77, 8 Cd 2.87-2.88
W  0.0000  0.5000  0.5000 x2  4 W 2.77, 8 Cd 3.03-3.04

formation enthalpy at 0 K	199.1	kJ/mol of formula units
calculated total energy	-5.296	eV per atom
energy above the most stable polymorph in this dataset	0.94	eV per formula unit
crystal system	orthorhombic

---

7.
Computed, not measured: Cd2FeW after structural relaxation at the PBE level of DFT.

Cell: 5.0105 5.0105 2.7871 Å, 90.00 90.00 90.00°
Closest atoms and distances in Å follow each position.
Space group P4/mmm (No. 123)
Symmetry-distinct sites (fractional):
Cd  0.0000  0.5000  0.0000 x2  2 Cd 2.79, 4 W 2.87, 4 Fe 2.87
Fe  0.0000  0.0000  0.5000 x1  2 Fe 2.79, 8 Cd 2.87
W  0.5000  0.5000  0.5000 x1  2 W 2.79, 8 Cd 2.87

formation enthalpy at 0 K	302.1	kJ/mol of formula units
calculated total energy	-5.029	eV per atom
energy above the most stable polymorph in this dataset	2.00	eV per formula unit
crystal system	tetragonal

---

8.
Computed, not measured: Cd2FeW after structural relaxation at the PBE level of DFT.

Cell: 2.7349 4.4500 5.6272 Å, 90.00 90.00 90.00°
Closest atoms and distances in Å follow each position.
Space group Pmmm (No. 47)
Symmetry-distinct sites (fractional):
Cd  0.0000  0.0000  0.2462 x2  4 Cd 2.73-2.86, 4 Fe 2.96, 4 W 2.98
Fe  0.5000  0.5000  0.0000 x1  2 Fe 2.73, 2 W 2.81, 8 Cd 2.96
W  0.5000  0.5000  0.5000 x1  2 W 2.73, 2 Fe 2.81, 8 Cd 2.98

formation enthalpy at 0 K	239.6	kJ/mol of formula units
calculated total energy	-5.191	eV per atom
energy above the most stable polymorph in this dataset	1.36	eV per formula unit
crystal system	orthorhombic